NaMoO3: optimized geometry, GGA+U.

```
data_NaMoO3
_symmetry_space_group_name_H-M 'P m -3 m'
_symmetry_Int_Tables_number 221
_symmetry_space_group_name_Hall '-P 4 2 3'
_cell_length_a 3.891
_cell_length_b 3.891
_cell_length_c 3.891
_cell_angle_alpha 90.00
_cell_angle_beta 90.00
_cell_angle_gamma 90.00
loop_
_atom_site_label
_atom_site_type_symbol
_atom_site_fract_x
_atom_site_fract_y
_atom_site_fract_z
Na1 Na 0.000 0.000 0.000
Mo1 Mo 0.500 0.500 0.500
O1 O 0.000 0.000 0.500
```

Calculated values
spin magnetization: 1.0 Bohr magnetons per cell
calculated total energy: -4.281 eV per atom